# 1
The following is a DFT calculation (PBE) of a relaxed structure of KMn2BCl.

a b c (Å): 3.989 6.580 3.989
angles (deg): 90.00 90.00 90.00
Site moments in Bohr magnetons follow the coordinates.
Element x y z (fractional)
B: 0.000 0.000 0.000  -0.03
K: 0.000 0.500 0.000  0.00
Mn: 0.500 0.000 0.000  -0.09
Cl: 0.500 0.500 0.500  0.00
Mn: 0.000 0.000 0.500  -0.13

Crystal system   tetragonal
Uncorrected formation energy   0.633 eV/atom

# 2
The following is a DFT calculation (PBE) of a relaxed structure of Cd3AsC.

a b c (Å): 5.382 5.382 5.382
angles (deg): 90.00 90.00 90.00
Site moments in Bohr magnetons follow the coordinates.
Element x y z (fractional)
As: 0.000 0.000 0.000  0.03
C: 0.500 0.500 0.500  1.02
Cd: 0.000 0.000 0.500  0.01
Cd: 0.500 0.000 0.000  0.02
Cd: 0.000 0.500 0.000  0.01

Crystal system   cubic
Relative energy among the computed polymorphs   0.766 eV per atom
Energy of formation from the pure elements   1.506 eV/atom

# 3
The following is a DFT calculation (PBE) of a relaxed structure of TbGa4CoPd2.

a b c (Å): 4.232 4.232 8.937
angles (deg): 76.30 76.30 60.00
Site moments in Bohr magnetons follow the coordinates.
Element x y z (fractional)
Pd: 0.238 0.238 0.286  0.03
Ga: 0.864 0.864 0.407  -0.01
Tb: 0.000 0.000 0.000  0.00
Ga: 0.136 0.136 0.593  -0.01
Pd: 0.762 0.762 0.714  0.03
Ga: 0.599 0.599 0.202  0.00
Co: 0.500 0.500 0.500  0.50
Ga: 0.401 0.401 0.798  0.00

Crystal system   trigonal
Energy of formation from the pure elements   -0.550 eV/atom

# 4
The following is a DFT calculation (PBE) of a relaxed structure of CeY4Ho2.

a b c (Å): 5.617 5.591 16.778
angles (deg): 90.00 90.00 120.15
Site moments in Bohr magnetons follow the coordinates.
Element x y z (fractional)
Y: 0.164 0.328 0.250  0.06
Ho: 0.165 0.330 0.444  0.02
Y: 0.830 0.661 0.145  -0.01
Ce: 0.497 0.995 0.250  0.72
Y: 0.170 0.339 0.645  -0.01
Y: 0.170 0.339 0.855  -0.01
Ho: 0.165 0.330 0.056  0.02
Y: 0.500 0.000 0.500  0.00
Y: 0.836 0.672 0.750  0.06
Y: 0.830 0.661 0.355  -0.01
Ho: 0.835 0.670 0.556  0.02
Ho: 0.835 0.670 0.944  0.02
Ce: 0.503 0.005 0.750  0.72
Y: 0.500 0.000 0.000  0.00

Crystal system   orthorhombic
Relative energy among the computed polymorphs   0.153 eV per atom
Energy of formation from the pure elements   0.189 eV/atom

# 5
The following is a DFT calculation (PBE) of a relaxed structure of Li3TlHg.

a b c (Å): 5.178 5.178 5.178
angles (deg): 90.00 90.00 90.00
Element x y z (fractional)
Tl: 0.000 0.000 0.000
Hg: 0.500 0.500 0.500
Li: 0.500 0.000 0.000
Li: 0.000 0.000 0.500
Li: 0.000 0.500 0.000

Crystal system   cubic
Relative energy among the computed polymorphs   0.425 eV per atom
Energy of formation from the pure elements   0.148 eV/atom

# 6
The following is a DFT calculation (PBE) of a relaxed structure of PrEr4Pd4.

a b c (Å): 5.709 9.094 9.094
angles (deg): 90.00 90.00 90.00
Element x y z (fractional)
Pd: 0.913 0.708 0.131
Pd: 0.587 0.792 0.369
Pr: 0.500 0.500 0.500
Pd: 0.913 0.292 0.869
Er: 0.914 0.402 0.169
Pr: 0.000 0.000 0.000
Er: 0.086 0.169 0.598
Er: 0.586 0.902 0.669
Pd: 0.413 0.369 0.208
Er: 0.914 0.598 0.831
Er: 0.086 0.831 0.402
Pd: 0.587 0.208 0.631
Er: 0.414 0.669 0.098
Pd: 0.413 0.631 0.792
Er: 0.586 0.098 0.331
Pd: 0.087 0.869 0.708
Er: 0.414 0.331 0.902
Pd: 0.087 0.131 0.292

Crystal system   tetragonal
Energy of formation from the pure elements   -0.677 eV/atom

# 7
The following is a DFT calculation (PBE) of a relaxed structure of Ce2SnSe2Cl4.

a b c (Å): 3.899 3.899 21.305
angles (deg): 90.00 90.00 120.00
Site moments in Bohr magnetons follow the coordinates.
Element x y z (fractional)
Cl: 0.667 0.333 0.898  -0.01
Cl: 0.000 0.000 0.567  -0.01
Sn: 0.000 0.000 0.329  0.00
Se: 0.667 0.333 0.409  0.00
Cl: 0.000 0.000 0.732  -0.01
Ce: 0.000 0.000 0.981  1.36
Cl: 0.667 0.333 0.063  -0.01
Se: 0.667 0.333 0.248  0.00
Ce: 0.667 0.333 0.649  1.35

Crystal system   trigonal
Uncorrected formation energy   -1.335 eV/atom

# 8
The following is a DFT calculation (PBE) of a relaxed structure of Nd4Bi2AsSe.

a b c (Å): 4.422 7.710 7.651
angles (deg): 70.72 90.00 90.00
Element x y z (fractional)
Nd: 0.000 0.732 0.751
Nd: 0.000 0.268 0.249
As: 0.000 0.500 0.500
Bi: 0.500 0.000 0.500
Nd: 0.500 0.730 0.261
Bi: 0.000 0.000 0.000
Se: 0.500 0.500 0.000
Nd: 0.500 0.270 0.739

Crystal system   monoclinic
Uncorrected formation energy   -1.311 eV/atom

What did the eighth record say?
The following is a DFT calculation (PBE) of a relaxed structure of Nd4Bi2AsSe.

a b c (Å): 4.422 7.710 7.651
angles (deg): 70.72 90.00 90.00
Element x y z (fractional)
Nd: 0.000 0.732 0.751
Nd: 0.000 0.268 0.249
As: 0.000 0.500 0.500
Bi: 0.500 0.000 0.500
Nd: 0.500 0.730 0.261
Bi: 0.000 0.000 0.000
Se: 0.500 0.500 0.000
Nd: 0.500 0.270 0.739

Crystal system   monoclinic
Uncorrected formation energy   -1.311 eV/atom

Please write out number 6 again, unchanged.
The following is a DFT calculation (PBE) of a relaxed structure of PrEr4Pd4.

a b c (Å): 5.709 9.094 9.094
angles (deg): 90.00 90.00 90.00
Element x y z (fractional)
Pd: 0.913 0.708 0.131
Pd: 0.587 0.792 0.369
Pr: 0.500 0.500 0.500
Pd: 0.913 0.292 0.869
Er: 0.914 0.402 0.169
Pr: 0.000 0.000 0.000
Er: 0.086 0.169 0.598
Er: 0.586 0.902 0.669
Pd: 0.413 0.369 0.208
Er: 0.914 0.598 0.831
Er: 0.086 0.831 0.402
Pd: 0.587 0.208 0.631
Er: 0.414 0.669 0.098
Pd: 0.413 0.631 0.792
Er: 0.586 0.098 0.331
Pd: 0.087 0.869 0.708
Er: 0.414 0.331 0.902
Pd: 0.087 0.131 0.292

Crystal system   tetragonal
Energy of formation from the pure elements   -0.677 eV/atom